Entry 1:
An optimized crystal structure of Mg2NF2, computed with GGA-PBE.

The density is 3020 kg/m³. The spin magnetization is 1.00 μB per formula unit. As for the energy relative to the elements, uncorrected: -1377.0 meV per atom. As for the symmetry: No. 139. Its polymorph energy (0 for the lowest one) is 0.0000 eV/atom. For the total energy, the calculation gives -22.1 eV/f.u. As for the crystal system: tetragonal.

Lattice parameters (Å, degrees): 4.4731 4.4731 4.4731 126.98 126.98 78.28
Fractional positions:
Mg1 0.2500 0.7500 0.5000
Mg2 0.7500 0.2500 0.5000
N1 0.0000 0.0000 0.0000
F1 0.3303 0.3303 0.0000
F2 0.6697 0.6697 0.0000

=====

Entry 2:
An optimized crystal structure of Mg2NF2, computed with GGA-PBE.

The density is 3037 kg/m³. The spin magnetization is 0.37 μB per formula unit. As for the energy relative to the elements, uncorrected: -1221.8 meV per atom. As for the symmetry: No. 127. Its polymorph energy (0 for the lowest one) is 0.1551 eV/atom. For the total energy, the calculation gives -21.4 eV/f.u. As for the crystal system: tetragonal.

Lattice parameters (Å, degrees): 6.3640 6.3640 2.7166 90.00 90.00 90.00
Fractional positions:
Mg1 0.2135 0.2865 0.0000
Mg2 0.2865 0.7865 0.0000
Mg3 0.7135 0.2135 0.0000
Mg4 0.7865 0.7135 0.0000
N1 0.0000 0.0000 0.5000
N2 0.5000 0.5000 0.5000
F1 0.1225 0.6225 0.5000
F2 0.3775 0.1225 0.5000
F3 0.6225 0.8775 0.5000
F4 0.8775 0.3775 0.5000

=====

Entry 3:
An optimized crystal structure of Mg3NF3, computed with GGA-PBE.

The density is 3094 kg/m³. The spin magnetization is 0.00 μB per formula unit. As for the energy relative to the elements, uncorrected: -2562.7 meV per atom. As for the symmetry: No. 221. For the total energy, the calculation gives -36.7 eV/f.u. As for the crystal system: cubic.

Lattice parameters (Å, degrees): 4.2588 4.2588 4.2588 90.00 90.00 90.00
Fractional positions:
Mg1 0.0000 0.0000 0.5000
Mg2 0.0000 0.5000 0.0000
Mg3 0.5000 0.0000 0.0000
N1 0.0000 0.0000 0.0000
F1 0.0000 0.5000 0.5000
F2 0.5000 0.0000 0.5000
F3 0.5000 0.5000 0.0000

=====

Entry 4:
An optimized crystal structure of MgNbNF2, computed with GGA-PBE.

The density is 3772 kg/m³. The spin magnetization is 1.32 μB per formula unit. As for the energy relative to the elements, uncorrected: -1287.6 meV per atom. As for the symmetry: No. 123. Its polymorph energy (0 for the lowest one) is 0.0247 eV/atom. For the total energy, the calculation gives -30.2 eV/f.u. As for the crystal system: tetragonal.

Lattice parameters (Å, degrees): 4.2846 4.2846 4.0584 90.00 90.00 90.00
Fractional positions:
Mg1 0.0000 0.0000 0.0000
Nb1 0.5000 0.5000 0.5000
N1 0.5000 0.5000 0.0000
F1 0.0000 0.5000 0.5000
F2 0.5000 0.0000 0.5000

=====

Entry 5:
An optimized crystal structure of MgNbNF2, computed with GGA-PBE.

The density is 4352 kg/m³. The spin magnetization is 1.80 μB per formula unit. As for the energy relative to the elements, uncorrected: -1312.3 meV per atom. As for the symmetry: No. 123. Its polymorph energy (0 for the lowest one) is 0.0000 eV/atom. For the total energy, the calculation gives -30.3 eV/f.u. As for the crystal system: tetragonal.

Lattice parameters (Å, degrees): 3.5007 3.5007 5.2686 90.00 90.00 90.00
Fractional positions:
Mg1 0.0000 0.0000 0.0000
Nb1 0.5000 0.5000 0.5000
N1 0.0000 0.0000 0.5000
F1 0.0000 0.5000 0.0000
F2 0.5000 0.0000 0.0000

=====

What is the formula in the second record? Mg2NF2

=====

Which of these has the highest energy relative to the elements, uncorrected? number 2

=====

What is the spin magnetization in the fourth record? 1.32 μB per formula unit

=====

Which of these has the highest spin magnetization? number 5